This record from Alexandria via LeMat-Bulk describes a relaxed Ac4Tb3DySe8 crystal. The functional is PBE-GGA.

- crystal system = trigonal
- ΔE_f (raw) (eV per atom) = -1.807
- E_tot (eV for the cell shown) = -91.71

Structure (CIF):
```
data_Ac4Tb3DySe8
_chemical_formula_sum 'Ac4 Tb3 Dy1 Se8'
_symmetry_space_group_name_H-M 'P 1'
_symmetry_Int_Tables_number 1
_symmetry_space_group_name_Hall 'P 1'
_cell_length_a 8.3570
_cell_length_b 8.7689
_cell_length_c 8.3567
_cell_angle_alpha 118.45
_cell_angle_beta 120.00
_cell_angle_gamma 90.00
loop_
_atom_site_label
_atom_site_type_symbol
_atom_site_fract_x
_atom_site_fract_y
_atom_site_fract_z
Dy1 Dy 0.0000 0.5000 0.0000
Ac1 Ac 0.5000 0.0000 0.5000
Ac2 Ac 0.0000 0.0000 0.0000
Ac3 Ac 0.5000 0.0000 0.0000
Ac4 Ac 0.0000 0.0000 0.5000
Tb1 Tb 0.0000 0.5000 0.5000
Tb2 Tb 0.5000 0.5000 0.0000
Tb3 Tb 0.5000 0.5000 0.5000
Se1 Se 0.2396 0.7202 0.4791
Se2 Se 0.2395 0.7202 0.9806
Se3 Se 0.2589 0.2798 0.0194
Se4 Se 0.7403 0.7208 0.4805
Se5 Se 0.7411 0.7202 0.9806
Se6 Se 0.7604 0.2798 0.5209
Se7 Se 0.7605 0.2798 0.0194
Se8 Se 0.2597 0.2792 0.5195
```